A plane-wave DFT calculation with PBE was carried out for crystalline Er8GeTe4S3 at its relaxed geometry.

Lattice parameters (Å, degrees): 8.1410 8.1410 20.8539 90.00 90.00 120.00
Space group R-3m (No. 166, hexagonal axes)
Asymmetric unit:
1 Er 0.0000 0.0000 0.2345
2 Er 0.0024 0.5012 0.7637
3 Ge 0.0000 0.0000 0.5000
4 Te 0.0000 0.0000 0.0000
5 Te 0.0000 0.5000 0.0000
6 S 0.0000 0.5000 0.5000

Calculated values
The value obtained for the formation energy (no corrections) is -1.510 eV per atom. Its crystal system is trigonal.